No. 1
A plane-wave DFT calculation with PBE was carried out for a relaxed structure of EuSe.

Lattice parameters (Å, degrees): 6.122 6.122 6.122 90.00 90.00 90.00
Sites, in units of the cell vectors:
Eu  0.000  0.000  0.000
Eu  0.000  0.500  0.500
Eu  0.500  0.000  0.500
Eu  0.500  0.500  0.000
Se  0.000  0.000  0.500
Se  0.000  0.500  0.000
Se  0.500  0.000  0.000
Se  0.500  0.500  0.500

## Properties
Its spin magnetization is 28.0 Bohr magnetons per cell. The value obtained for the uncorrected formation energy is -2037.9 meV/atom. The value obtained for the calculated volume is 28.7 A^3/atom. As for the theoretical density: 6.7 g cm⁻³.

***

No. 2
A plane-wave DFT calculation with PBE was carried out for a relaxed structure of EuSe.

Lattice parameters (Å, degrees): 3.736 3.736 3.736 90.00 90.00 90.00
Sites, in units of the cell vectors:
Eu  0.000  0.000  0.000
Se  0.500  0.500  0.500

## Properties
Its spin magnetization is 7.0 Bohr magnetons per cell. The value obtained for the uncorrected formation energy is -1749.6 meV/atom. The value obtained for the calculated volume is 26.1 A^3/atom. As for the theoretical density: 7.4 g cm⁻³.

***

No. 3
A plane-wave DFT calculation with PBE was carried out for a relaxed structure of Eu3Si5Se12.

Lattice parameters (Å, degrees): 13.810 13.810 13.810 109.47 109.47 109.47
Sites, in units of the cell vectors:
Eu  0.125  0.250  0.375
Eu  0.125  0.375  0.750
Eu  0.250  0.375  0.125
Eu  0.250  0.875  0.625
Eu  0.375  0.125  0.250
Eu  0.375  0.750  0.125
Eu  0.625  0.250  0.875
Eu  0.625  0.875  0.750
Eu  0.750  0.125  0.375
Eu  0.750  0.625  0.875
Eu  0.875  0.625  0.250
Eu  0.875  0.750  0.625
Si  0.000  0.000  0.000
Si  0.000  0.000  0.500
Si  0.000  0.500  0.000
Si  0.000  0.500  0.500
Si  0.125  0.750  0.875
Si  0.125  0.875  0.250
Si  0.250  0.125  0.875
Si  0.250  0.625  0.375
Si  0.375  0.250  0.625
Si  0.375  0.625  0.750
Si  0.500  0.000  0.000
Si  0.500  0.000  0.500
Si  0.500  0.500  0.000
Si  0.500  0.500  0.500
Si  0.625  0.375  0.250
Si  0.625  0.750  0.375
Si  0.750  0.375  0.625
Si  0.750  0.875  0.125
Si  0.875  0.125  0.750
Si  0.875  0.250  0.125
Se  0.023  0.207  0.119
Se  0.023  0.316  0.905
Se  0.088  0.707  0.684
Se  0.088  0.881  0.405
Se  0.095  0.619  0.412
Se  0.095  0.977  0.684
Se  0.119  0.023  0.207
Se  0.119  0.595  0.912
Se  0.184  0.207  0.588
Se  0.184  0.477  0.595
Se  0.207  0.119  0.023
Se  0.207  0.588  0.184
Se  0.293  0.316  0.912
Se  0.293  0.477  0.381
Se  0.316  0.905  0.023
Se  0.316  0.912  0.293
Se  0.381  0.293  0.477
Se  0.381  0.588  0.905
Se  0.405  0.088  0.881
Se  0.405  0.816  0.523
Se  0.412  0.095  0.619
Se  0.412  0.816  0.793
Se  0.477  0.381  0.293
Se  0.477  0.595  0.184
Se  0.523  0.405  0.816
Se  0.523  0.619  0.707
Se  0.588  0.184  0.207
Se  0.588  0.905  0.381
Se  0.595  0.184  0.477
Se  0.595  0.912  0.119
Se  0.619  0.412  0.095
Se  0.619  0.707  0.523
Se  0.684  0.088  0.707
Se  0.684  0.095  0.977
Se  0.707  0.523  0.619
Se  0.707  0.684  0.088
Se  0.793  0.412  0.816
Se  0.793  0.881  0.977
Se  0.816  0.523  0.405
Se  0.816  0.793  0.412
Se  0.881  0.405  0.088
Se  0.881  0.977  0.793
Se  0.905  0.023  0.316
Se  0.905  0.381  0.588
Se  0.912  0.119  0.595
Se  0.912  0.293  0.316
Se  0.977  0.684  0.095
Se  0.977  0.793  0.881

## Properties
Its spin magnetization is 79.2 Bohr magnetons per cell. The value obtained for the uncorrected formation energy is -782.4 meV/atom. The value obtained for the calculated volume is 25.3 A^3/atom. As for the theoretical density: 5.1 g cm⁻³.

***

No. 4
A plane-wave DFT calculation with PBE was carried out for a relaxed structure of SmEuSe2.

Lattice parameters (Å, degrees): 4.221 4.221 20.892 90.00 90.00 120.00
Sites, in units of the cell vectors:
Sm  0.000  0.000  0.000
Sm  0.333  0.667  0.667
Sm  0.667  0.333  0.333
Eu  0.000  0.000  0.500
Eu  0.333  0.667  0.167
Eu  0.667  0.333  0.833
Se  0.000  0.000  0.252
Se  0.000  0.000  0.748
Se  0.333  0.667  0.414
Se  0.333  0.667  0.919
Se  0.667  0.333  0.081
Se  0.667  0.333  0.586

## Properties
Its spin magnetization is 20.8 Bohr magnetons per cell. The value obtained for the uncorrected formation energy is -1931.2 meV/atom. The value obtained for the calculated volume is 26.9 A^3/atom. As for the theoretical density: 7.1 g cm⁻³.

***

No. 5
A plane-wave DFT calculation with PBE was carried out for a relaxed structure of Sm2EuSe4.

Lattice parameters (Å, degrees): 7.734 7.734 7.734 109.37 109.37 109.67
Sites, in units of the cell vectors:
Sm  0.001  0.625  0.876
Sm  0.375  0.251  0.376
Sm  0.749  0.125  0.124
Sm  0.875  0.999  0.624
Eu  0.250  0.750  0.500
Eu  0.500  0.500  0.000
Se  0.118  0.368  0.099
Se  0.118  0.368  0.599
Se  0.269  0.020  0.901
Se  0.481  0.882  0.251
Se  0.632  0.230  0.749
Se  0.632  0.731  0.751
Se  0.770  0.519  0.401
Se  0.980  0.882  0.249

## Properties
Its spin magnetization is 14.0 Bohr magnetons per cell. The value obtained for the uncorrected formation energy is -1930.1 meV/atom. The value obtained for the calculated volume is 25.4 A^3/atom. As for the theoretical density: 7.2 g cm⁻³.

***

No. 6
A plane-wave DFT calculation with PBE was carried out for a relaxed structure of EuSnSe2.

Lattice parameters (Å, degrees): 5.173 5.173 3.774 90.00 90.00 90.00
Sites, in units of the cell vectors:
Eu  0.000  0.000  0.000
Sn  0.500  0.500  0.000
Se  0.000  0.500  0.500
Se  0.500  0.000  0.500

## Properties
Its spin magnetization is 6.9 Bohr magnetons per cell. The value obtained for the uncorrected formation energy is -1035.9 meV/atom. The value obtained for the calculated volume is 25.3 A^3/atom. As for the theoretical density: 7.0 g cm⁻³.

***

No. 7
A plane-wave DFT calculation with PBE was carried out for a relaxed structure of Eu3Sn5Se12.

Lattice parameters (Å, degrees): 14.656 14.656 14.656 109.47 109.47 109.47
Sites, in units of the cell vectors:
Eu  0.125  0.250  0.375
Eu  0.125  0.375  0.750
Eu  0.250  0.375  0.125
Eu  0.250  0.875  0.625
Eu  0.375  0.125  0.250
Eu  0.375  0.750  0.125
Eu  0.625  0.250  0.875
Eu  0.625  0.875  0.750
Eu  0.750  0.125  0.375
Eu  0.750  0.625  0.875
Eu  0.875  0.625  0.250
Eu  0.875  0.750  0.625
Sn  0.000  0.000  0.000
Sn  0.000  0.000  0.500
Sn  0.000  0.500  0.000
Sn  0.000  0.500  0.500
Sn  0.125  0.750  0.875
Sn  0.125  0.875  0.250
Sn  0.250  0.125  0.875
Sn  0.250  0.625  0.375
Sn  0.375  0.250  0.625
Sn  0.375  0.625  0.750
Sn  0.500  0.000  0.000
Sn  0.500  0.000  0.500
Sn  0.500  0.500  0.000
Sn  0.500  0.500  0.500
Sn  0.625  0.375  0.250
Sn  0.625  0.750  0.375
Sn  0.750  0.375  0.625
Sn  0.750  0.875  0.125
Sn  0.875  0.125  0.750
Sn  0.875  0.250  0.125
Se  0.040  0.218  0.130
Se  0.040  0.323  0.910
Se  0.088  0.718  0.677
Se  0.088  0.870  0.410
Se  0.090  0.630  0.412
Se  0.090  0.960  0.677
Se  0.130  0.040  0.218
Se  0.130  0.590  0.912
Se  0.177  0.218  0.588
Se  0.177  0.460  0.590
Se  0.218  0.130  0.040
Se  0.218  0.588  0.177
Se  0.282  0.323  0.912
Se  0.282  0.460  0.370
Se  0.323  0.910  0.040
Se  0.323  0.912  0.282
Se  0.370  0.282  0.460
Se  0.370  0.588  0.910
Se  0.410  0.088  0.870
Se  0.410  0.823  0.540
Se  0.412  0.090  0.630
Se  0.412  0.823  0.782
Se  0.460  0.370  0.282
Se  0.460  0.590  0.177
Se  0.540  0.410  0.823
Se  0.540  0.630  0.718
Se  0.588  0.177  0.218
Se  0.588  0.910  0.370
Se  0.590  0.177  0.460
Se  0.590  0.912  0.130
Se  0.630  0.412  0.090
Se  0.630  0.718  0.540
Se  0.677  0.088  0.718
Se  0.677  0.090  0.960
Se  0.718  0.540  0.630
Se  0.718  0.677  0.088
Se  0.782  0.412  0.823
Se  0.782  0.870  0.960
Se  0.823  0.540  0.410
Se  0.823  0.782  0.412
Se  0.870  0.410  0.088
Se  0.870  0.960  0.782
Se  0.910  0.040  0.323
Se  0.910  0.370  0.588
Se  0.912  0.130  0.590
Se  0.912  0.282  0.323
Se  0.960  0.677  0.090
Se  0.960  0.782  0.870

## Properties
Its spin magnetization is 80.9 Bohr magnetons per cell. The value obtained for the uncorrected formation energy is -841.4 meV/atom. The value obtained for the calculated volume is 30.3 A^3/atom. As for the theoretical density: 5.5 g cm⁻³.

***

No. 8
A plane-wave DFT calculation with PBE was carried out for a relaxed structure of Eu2SnSe.

Lattice parameters (Å, degrees): 3.668 3.668 8.360 90.00 90.00 90.00
Sites, in units of the cell vectors:
Eu  0.000  0.000  0.221
Eu  0.000  0.000  0.779
Sn  0.500  0.500  0.500
Se  0.500  0.500  0.000

## Properties
Its spin magnetization is 13.9 Bohr magnetons per cell. The value obtained for the uncorrected formation energy is -1172.1 meV/atom. The energy above the lowest structure with this stoichiometry comes out at 0.042 eV per atom. The value obtained for the calculated volume is 28.1 A^3/atom. As for the theoretical density: 7.4 g cm⁻³.

***

No. 9
A plane-wave DFT calculation with PBE was carried out for a relaxed structure of Eu2SnSe.

Lattice parameters (Å, degrees): 4.177 4.177 24.965 90.00 90.00 120.00
Sites, in units of the cell vectors:
Eu  0.000  0.000  0.240
Eu  0.000  0.000  0.760
Eu  0.333  0.667  0.427
Eu  0.333  0.667  0.906
Eu  0.667  0.333  0.094
Eu  0.667  0.333  0.573
Sn  0.000  0.000  0.000
Sn  0.333  0.667  0.667
Sn  0.667  0.333  0.333
Se  0.000  0.000  0.500
Se  0.333  0.667  0.167
Se  0.667  0.333  0.833

## Properties
Its spin magnetization is 41.9 Bohr magnetons per cell. The value obtained for the uncorrected formation energy is -1214.1 meV/atom. The energy above the lowest structure with this stoichiometry comes out at 0.000 eV per atom. The value obtained for the calculated volume is 31.4 A^3/atom. As for the theoretical density: 6.6 g cm⁻³.

***

No. 10
A plane-wave DFT calculation with PBE was carried out for a relaxed structure of Sr3EuSe.

Lattice parameters (Å, degrees): 6.173 6.173 6.173 90.00 90.00 90.00
Sites, in units of the cell vectors:
Sr  0.000  0.000  0.500
Sr  0.000  0.500  0.000
Sr  0.500  0.000  0.000
Eu  0.500  0.500  0.500
Se  0.000  0.000  0.000

## Properties
Its spin magnetization is 7.3 Bohr magnetons per cell. The value obtained for the uncorrected formation energy is -642.4 meV/atom. The value obtained for the calculated volume is 47.1 A^3/atom. As for the theoretical density: 3.5 g cm⁻³.

***

No. 11
A plane-wave DFT calculation with PBE was carried out for a relaxed structure of SrEu4Se5.

Lattice parameters (Å, degrees): 7.562 7.562 10.698 118.12 118.12 33.53
Sites, in units of the cell vectors:
Sr  0.000  0.000  0.000
Eu  0.200  0.200  0.799
Eu  0.400  0.400  0.600
Eu  0.600  0.600  0.400
Eu  0.800  0.800  0.201
Se  0.000  0.000  0.500
Se  0.201  0.201  0.303
Se  0.398  0.398  0.102
Se  0.602  0.602  0.898
Se  0.799  0.799  0.697

## Properties
Its spin magnetization is 0.0 Bohr magnetons per cell. The value obtained for the uncorrected formation energy is -2026.4 meV/atom. The value obtained for the calculated volume is 29.4 A^3/atom. As for the theoretical density: 6.2 g cm⁻³.

***

No. 12
A plane-wave DFT calculation with PBE was carried out for a relaxed structure of Tb2EuSe4.

Lattice parameters (Å, degrees): 12.530 4.149 14.987 90.00 90.00 90.00
Sites, in units of the cell vectors:
Tb  0.066  0.250  0.111
Tb  0.083  0.250  0.598
Tb  0.417  0.750  0.098
Tb  0.434  0.750  0.611
Tb  0.566  0.250  0.389
Tb  0.583  0.250  0.902
Tb  0.917  0.750  0.402
Tb  0.934  0.750  0.889
Eu  0.242  0.250  0.336
Eu  0.258  0.750  0.836
Eu  0.742  0.250  0.164
Eu  0.758  0.750  0.664
Se  0.025  0.750  0.715
Se  0.090  0.250  0.920
Se  0.134  0.750  0.469
Se  0.207  0.750  0.179
Se  0.293  0.250  0.679
Se  0.366  0.250  0.969
Se  0.410  0.750  0.420
Se  0.475  0.250  0.215
Se  0.525  0.750  0.785
Se  0.590  0.250  0.580
Se  0.634  0.750  0.031
Se  0.707  0.750  0.321
Se  0.793  0.250  0.821
Se  0.866  0.250  0.531
Se  0.910  0.750  0.080
Se  0.975  0.250  0.285

## Properties
Its spin magnetization is 28.0 Bohr magnetons per cell. The value obtained for the uncorrected formation energy is -1934.0 meV/atom. The value obtained for the calculated volume is 27.8 A^3/atom. As for the theoretical density: 6.7 g cm⁻³.

***

No. 13
A plane-wave DFT calculation with PBE was carried out for a relaxed structure of EuTe2Se.

Lattice parameters (Å, degrees): 4.082 4.082 29.522 90.00 90.00 120.00
Sites, in units of the cell vectors:
Eu  0.000  0.000  0.000
Eu  0.333  0.667  0.667
Eu  0.667  0.333  0.333
Te  0.000  0.000  0.107
Te  0.000  0.000  0.893
Te  0.333  0.667  0.560
Te  0.333  0.667  0.774
Te  0.667  0.333  0.226
Te  0.667  0.333  0.440
Se  0.000  0.000  0.500
Se  0.333  0.667  0.167
Se  0.667  0.333  0.833

## Properties
Its spin magnetization is 23.0 Bohr magnetons per cell. The value obtained for the uncorrected formation energy is 36.1 meV/atom. The value obtained for the calculated volume is 35.5 A^3/atom. As for the theoretical density: 5.7 g cm⁻³.

***

No. 14
A plane-wave DFT calculation with PBE was carried out for a relaxed structure of Eu3Te5Se12.

Lattice parameters (Å, degrees): 14.911 14.911 14.911 109.47 109.47 109.47
Sites, in units of the cell vectors:
Eu  0.125  0.250  0.375
Eu  0.125  0.375  0.750
Eu  0.250  0.375  0.125
Eu  0.250  0.875  0.625
Eu  0.375  0.125  0.250
Eu  0.375  0.750  0.125
Eu  0.625  0.250  0.875
Eu  0.625  0.875  0.750
Eu  0.750  0.125  0.375
Eu  0.750  0.625  0.875
Eu  0.875  0.625  0.250
Eu  0.875  0.750  0.625
Te  0.000  0.000  0.000
Te  0.000  0.000  0.500
Te  0.000  0.500  0.000
Te  0.000  0.500  0.500
Te  0.125  0.750  0.875
Te  0.125  0.875  0.250
Te  0.250  0.125  0.875
Te  0.250  0.625  0.375
Te  0.375  0.250  0.625
Te  0.375  0.625  0.750
Te  0.500  0.000  0.000
Te  0.500  0.000  0.500
Te  0.500  0.500  0.000
Te  0.500  0.500  0.500
Te  0.625  0.375  0.250
Te  0.625  0.750  0.375
Te  0.750  0.375  0.625
Te  0.750  0.875  0.125
Te  0.875  0.125  0.750
Te  0.875  0.250  0.125
Se  0.050  0.216  0.137
Se  0.050  0.334  0.913
Se  0.079  0.716  0.666
Se  0.079  0.863  0.413
Se  0.087  0.637  0.421
Se  0.087  0.950  0.666
Se  0.137  0.050  0.216
Se  0.137  0.587  0.921
Se  0.166  0.216  0.579
Se  0.166  0.450  0.587
Se  0.216  0.137  0.050
Se  0.216  0.579  0.166
Se  0.284  0.334  0.921
Se  0.284  0.450  0.363
Se  0.334  0.913  0.050
Se  0.334  0.921  0.284
Se  0.363  0.284  0.450
Se  0.363  0.579  0.913
Se  0.413  0.079  0.863
Se  0.413  0.834  0.550
Se  0.421  0.087  0.637
Se  0.421  0.834  0.784
Se  0.450  0.363  0.284
Se  0.450  0.587  0.166
Se  0.550  0.413  0.834
Se  0.550  0.637  0.716
Se  0.579  0.166  0.216
Se  0.579  0.913  0.363
Se  0.587  0.166  0.450
Se  0.587  0.921  0.137
Se  0.637  0.421  0.087
Se  0.637  0.716  0.550
Se  0.666  0.079  0.716
Se  0.666  0.087  0.950
Se  0.716  0.550  0.637
Se  0.716  0.666  0.079
Se  0.784  0.421  0.834
Se  0.784  0.863  0.950
Se  0.834  0.550  0.413
Se  0.834  0.784  0.421
Se  0.863  0.413  0.079
Se  0.863  0.950  0.784
Se  0.913  0.050  0.334
Se  0.913  0.363  0.579
Se  0.921  0.137  0.587
Se  0.921  0.284  0.334
Se  0.950  0.666  0.087
Se  0.950  0.784  0.863

## Properties
Its spin magnetization is 82.4 Bohr magnetons per cell. The value obtained for the uncorrected formation energy is -476.1 meV/atom. The value obtained for the calculated volume is 31.9 A^3/atom. As for the theoretical density: 5.3 g cm⁻³.